{
  "formula": "Ba2AgGe",
  "functional": "GGA-PBE",
  "state": "optimized geometry",
  "sg": "F-43m (216)",
  "crystal_system": "cubic",
  "total_energy_ev_per_atom": -2.894,
  "lattice_angstrom": [[0.000, 3.964, 3.964], [3.964, 0.000, 3.964], [3.964, 3.964, 0.000]],
  "species": ["Ag", "Ge", "Ba", "Ba"],
  "fractional_positions": [[0.750, 0.750, 0.750], [0.000, 0.000, 0.000], [0.250, 0.250, 0.250], [0.500, 0.500, 0.500]]
}